Material: ZrGaTeN2
Method: DFT, PBE
State: optimized geometry

Cell: 4.1611 4.1611 6.1275 Å, 90.00 90.00 90.00°
Closest atoms and distances in Å follow each position.
Space group P4/mmm (No. 123)
Symmetry-distinct sites (fractional):
1 Zr 0.0000 0.0000 0.0000 x1  4 N 2.08
2 Ga 0.5000 0.5000 0.5000 x1  4 Te 2.94
3 Te 0.0000 0.0000 0.5000 x1  4 Ga 2.94, 2 Zr 3.06
4 N 0.0000 0.5000 0.0000 x2  2 Zr 2.08

Properties
formation energy (no corrections) = 0.31 eV per atom
distance to the lowest polymorph of the same formula = 0.0 meV per atom
total moment = 0.007 μB per atom
energy = -5.97 eV/atom